[1]
Crystalline Cu2IrAu at its relaxed geometry, computed with PBE.

Cell lengths 4.608, 4.608, 4.821 Å; angles 79.77, 79.77, 34.98 degrees
Atoms (fractional coordinates):
Cu 0.004 0.004 0.981
Cu 0.496 0.496 0.519
Ir 0.750 0.750 0.750
Au 0.250 0.250 0.250

Results
**SG**: C2/m
**E_form**: 0.16 eV/atom
**Raw total energy**: -4.924 eV per atom

[2]
Crystalline Al4ZnMo at its relaxed geometry, computed with PBE.

Cell lengths 5.098, 5.098, 5.098 Å; angles 60.00, 60.00, 60.00 degrees
Atoms (fractional coordinates):
Al 0.375 0.375 0.876
Al 0.375 0.876 0.375
Al 0.876 0.375 0.375
Al 0.375 0.375 0.375
Zn 0.000 0.000 0.000
Mo 0.750 0.750 0.750

Results
**SG**: F-43m
**E_form**: 0.06 eV/atom
**Raw total energy**: -4.455 eV per atom
**Excess energy over the best structure of this formula in the dataset**: 168 meV per atom